No. 1
A plane-wave DFT calculation with PBE-GGA was carried out for an optimized crystal structure of Ta4Si3Mo2N3.

a b c (Å): 9.3981 5.3040 13.1932
angles (deg): 90.00 104.29 90.00
Closest atoms and distances in Å follow each position.
Space group C2/c (No. 15)
Unique sites:
Ta1 0.1121 0.0949 0.0902 (multiplicity 8)  3 N 2.09-2.21
Ta2 0.2251 0.0858 0.4085 (multiplicity 8)  3 N 2.10-2.24
Si1 0.0000 0.0631 0.7500 (multiplicity 4)  2 Mo 2.54, 4 Ta 2.70-2.71
Si2 0.1769 0.4123 0.2493 (multiplicity 8)  2 Mo 2.51-2.53, 4 Ta 2.64-2.70
Mo1 0.0480 0.4237 0.8810 (multiplicity 8)  3 N 2.27-2.36, 3 Si 2.51-2.54
N1 0.0793 0.2599 0.5004 (multiplicity 8)  4 Ta 2.09-2.24, 1 Mo 2.27
N2 0.2500 0.2500 0.0000 (multiplicity 4)  4 Ta 2.13, 2 Mo 2.33

Calculated values
Total DFT energy (no corrections)   -9.640 eV/atom
Mass density   10.86 g/cm³



No. 2
A plane-wave DFT calculation with PBE-GGA was carried out for an optimized crystal structure of TlSiMo4N2.

a b c (Å): 3.2837 3.2837 12.3261
angles (deg): 90.00 90.00 120.00
Closest atoms and distances in Å follow each position.
Space group P-6m2 (No. 187)
Unique sites:
Tl1 0.0000 0.0000 0.0000 (multiplicity 1)  6 Mo 3.09, 6 Tl 3.28
Si1 0.6667 0.3333 0.5000 (multiplicity 1)  6 Mo 2.53
Mo1 0.0000 0.0000 0.3637 (multiplicity 2)  3 N 2.34, 3 Si 2.53
Mo2 0.6667 0.3333 0.1977 (multiplicity 2)  3 N 2.01
N1 0.3333 0.6667 0.2517 (multiplicity 2)  3 Mo 2.01

Calculated values
Total DFT energy (no corrections)   -8.500 eV/atom
Mass density   9.29 g/cm³